Entry 1:
# Tl15In2Sb2 (GGA-PBE, optimized geometry)
# - ΔE_f (raw): 97 meV per atom
# - Fermi-level density of states: 8.92 states/eV/f.u.
# - Density: 9.2 g/cm3
data_Tl15In2Sb2
_chemical_formula_sum 'Tl15 In2 Sb2'
_cell_length_a 8.700
_cell_length_b 8.700
_cell_length_c 8.700
_cell_angle_alpha 81.53
_cell_angle_beta 81.53
_cell_angle_gamma 81.53
_space_group_name_H-M_alt 'P 1'
_space_group_IT_number 1
_space_group_name_Hall 'P 1'
loop_
_atom_site_label
_atom_site_type_symbol
_atom_site_fract_x
_atom_site_fract_y
_atom_site_fract_z
Tl1 Tl 0.000 0.000 0.500
Tl2 Tl 0.000 0.312 0.688
Tl3 Tl 0.000 0.500 0.000
Tl4 Tl 0.000 0.688 0.312
Tl5 Tl 0.153 0.658 0.658
Tl6 Tl 0.312 0.000 0.688
Tl7 Tl 0.312 0.688 0.000
Tl8 Tl 0.342 0.342 0.847
Tl9 Tl 0.342 0.847 0.342
Tl10 Tl 0.500 0.000 0.000
Tl11 Tl 0.658 0.153 0.658
Tl12 Tl 0.658 0.658 0.153
Tl13 Tl 0.688 0.000 0.312
Tl14 Tl 0.688 0.312 0.000
Tl15 Tl 0.847 0.342 0.342
In1 In 0.286 0.286 0.286
In2 In 0.714 0.714 0.714
Sb1 Sb 0.097 0.097 0.097
Sb2 Sb 0.903 0.903 0.903



Entry 2:
# MgSi2Ir (GGA-PBE, optimized geometry)
# - ΔE_f (raw): 37 meV per atom
# - Fermi-level density of states: 1.92 states/eV/f.u.
# - Density: 7.5 g/cm3
data_MgSi2Ir
_chemical_formula_sum 'Mg1 Si2 Ir1'
_cell_length_a 5.185
_cell_length_b 5.185
_cell_length_c 2.951
_cell_angle_alpha 106.05
_cell_angle_beta 106.05
_cell_angle_gamma 116.66
_space_group_name_H-M_alt 'P 1'
_space_group_IT_number 1
_space_group_name_Hall 'P 1'
loop_
_atom_site_label
_atom_site_type_symbol
_atom_site_fract_x
_atom_site_fract_y
_atom_site_fract_z
Mg1 Mg 0.000 0.000 0.000
Si1 Si 0.000 0.500 0.000
Si2 Si 0.500 0.000 0.000
Ir1 Ir 0.500 0.500 0.000



Entry 3:
# IrBr (GGA-PBE, optimized geometry)
# - Energy relative to the lowest polymorph listed for this composition: 414 meV/atom
# - ΔE_f (raw): 681 meV per atom
# - Fermi-level density of states: 1.79 states/eV/f.u.
# - Density: 10.8 g/cm3
data_IrBr
_chemical_formula_sum 'Ir6 Br6'
_cell_length_a 4.307
_cell_length_b 9.609
_cell_length_c 6.073
_cell_angle_alpha 90.00
_cell_angle_beta 90.00
_cell_angle_gamma 90.00
_space_group_name_H-M_alt 'P 1'
_space_group_IT_number 1
_space_group_name_Hall 'P 1'
loop_
_atom_site_label
_atom_site_type_symbol
_atom_site_fract_x
_atom_site_fract_y
_atom_site_fract_z
Ir1 Ir 0.250 0.006 0.113
Ir2 Ir 0.250 0.494 0.113
Ir3 Ir 0.250 0.750 0.279
Ir4 Ir 0.750 0.250 0.721
Ir5 Ir 0.750 0.506 0.887
Ir6 Ir 0.750 0.994 0.887
Br1 Br 0.250 0.250 0.908
Br2 Br 0.250 0.588 0.649
Br3 Br 0.250 0.912 0.649
Br4 Br 0.750 0.088 0.351
Br5 Br 0.750 0.412 0.351
Br6 Br 0.750 0.750 0.092



Entry 4:
# CoTcRu2 (GGA-PBE, optimized geometry)
# - Energy relative to the lowest polymorph listed for this composition: 1081 meV/atom
# - Fermi-level density of states: 5.42 states/eV/f.u.
# - Density: 7.8 g/cm3
# - Formation energy from the elements: 112.66 kJ per mole of atoms
data_CoTcRu2
_chemical_formula_sum 'Co2 Tc2 Ru4'
_cell_length_a 6.570
_cell_length_b 6.570
_cell_length_c 6.570
_cell_angle_alpha 132.35
_cell_angle_beta 132.35
_cell_angle_gamma 69.68
_space_group_name_H-M_alt 'P 1'
_space_group_IT_number 1
_space_group_name_Hall 'P 1'
loop_
_atom_site_label
_atom_site_type_symbol
_atom_site_fract_x
_atom_site_fract_y
_atom_site_fract_z
Co1 Co 0.000 0.000 0.000
Co2 Co 0.750 0.250 0.500
Tc1 Tc 0.250 0.750 0.500
Tc2 Tc 0.500 0.500 0.000
Ru1 Ru 0.102 0.625 0.977
Ru2 Ru 0.375 0.352 0.477
Ru3 Ru 0.648 0.125 0.023
Ru4 Ru 0.875 0.898 0.523



Entry 5:
# KCdIn3Ag (GGA-PBE, optimized geometry)
# - Fermi-level density of states: 2.91 states/eV/f.u.
# - Density: 5.7 g/cm3
# - Formation energy from the elements: 4.75 kJ per mole of atoms
data_KCdIn3Ag
_chemical_formula_sum 'K2 Cd2 In6 Ag2'
_cell_length_a 8.099
_cell_length_b 8.099
_cell_length_c 6.552
_cell_angle_alpha 90.00
_cell_angle_beta 90.00
_cell_angle_gamma 124.76
_space_group_name_H-M_alt 'P 1'
_space_group_IT_number 1
_space_group_name_Hall 'P 1'
loop_
_atom_site_label
_atom_site_type_symbol
_atom_site_fract_x
_atom_site_fract_y
_atom_site_fract_z
K1 K 0.202 0.798 0.750
K2 K 0.798 0.202 0.250
Cd1 Cd 0.422 0.578 0.750
Cd2 Cd 0.578 0.422 0.250
In1 In 0.204 0.204 0.000
In2 In 0.204 0.204 0.500
In3 In 0.351 0.649 0.250
In4 In 0.649 0.351 0.750
In5 In 0.796 0.796 0.000
In6 In 0.796 0.796 0.500
Ag1 Ag 0.146 0.854 0.250
Ag2 Ag 0.854 0.146 0.750



Entry 6:
# TaP3 (GGA-PBE, optimized geometry)
# - Fermi-level density of states: 3.39 states/eV/f.u.
# - Density: 7.6 g/cm3
# - Formation energy from the elements: 45.60 kJ per mole of atoms
data_TaP3
_chemical_formula_sum 'Ta1 P3'
_cell_length_a 3.917
_cell_length_b 3.917
_cell_length_c 3.917
_cell_angle_alpha 90.00
_cell_angle_beta 90.00
_cell_angle_gamma 90.00
_space_group_name_H-M_alt 'P 1'
_space_group_IT_number 1
_space_group_name_Hall 'P 1'
loop_
_atom_site_label
_atom_site_type_symbol
_atom_site_fract_x
_atom_site_fract_y
_atom_site_fract_z
Ta1 Ta 0.000 0.000 0.000
P1 P 0.000 0.500 0.500
P2 P 0.500 0.000 0.500
P3 P 0.500 0.500 0.000



Entry 7:
# LaY3Tl (GGA-PBE, optimized geometry)
# - Energy relative to the lowest polymorph listed for this composition: 166 meV/atom
# - Fermi-level density of states: 6.55 states/eV/f.u.
# - Density: 5.9 g/cm3
# - Formation energy from the elements: 1.87 kJ per mole of atoms
data_LaY3Tl
_chemical_formula_sum 'La4 Y12 Tl4'
_cell_length_a 7.911
_cell_length_b 7.911
_cell_length_c 14.306
_cell_angle_alpha 97.86
_cell_angle_beta 97.86
_cell_angle_gamma 50.42
_space_group_name_H-M_alt 'P 1'
_space_group_IT_number 1
_space_group_name_Hall 'P 1'
loop_
_atom_site_label
_atom_site_type_symbol
_atom_site_fract_x
_atom_site_fract_y
_atom_site_fract_z
La1 La 0.135 0.637 0.614
La2 La 0.363 0.865 0.886
La3 La 0.637 0.135 0.114
La4 La 0.865 0.363 0.386
Y1 Y 0.156 0.157 0.656
Y2 Y 0.157 0.156 0.156
Y3 Y 0.213 0.712 0.037
Y4 Y 0.288 0.787 0.463
Y5 Y 0.343 0.344 0.843
Y6 Y 0.344 0.343 0.343
Y7 Y 0.656 0.657 0.657
Y8 Y 0.657 0.656 0.157
Y9 Y 0.712 0.213 0.537
Y10 Y 0.787 0.288 0.963
Y11 Y 0.843 0.844 0.844
Y12 Y 0.844 0.843 0.344
Tl1 Tl 0.000 0.500 0.000
Tl2 Tl 0.250 0.750 0.250
Tl3 Tl 0.500 0.000 0.500
Tl4 Tl 0.750 0.250 0.750



Entry 8:
# YHgBr2 (GGA-PBE, optimized geometry)
# - Energy relative to the lowest polymorph listed for this composition: 32 meV/atom
# - ΔE_f (raw): -1150 meV per atom
# - Fermi-level density of states: 1.84 states/eV/f.u.
# - Density: 5.8 g/cm3
data_YHgBr2
_chemical_formula_sum 'Y1 Hg1 Br2'
_cell_length_a 3.546
_cell_length_b 3.546
_cell_length_c 10.233
_cell_angle_alpha 90.00
_cell_angle_beta 90.00
_cell_angle_gamma 90.00
_space_group_name_H-M_alt 'P 1'
_space_group_IT_number 1
_space_group_name_Hall 'P 1'
loop_
_atom_site_label
_atom_site_type_symbol
_atom_site_fract_x
_atom_site_fract_y
_atom_site_fract_z
Y1 Y 0.000 0.000 0.000
Hg1 Hg 0.000 0.000 0.500
Br1 Br 0.500 0.500 0.166
Br2 Br 0.500 0.500 0.834



Entry 9:
# Ta3TlCu (GGA-PBE, optimized geometry)
# - Energy relative to the lowest polymorph listed for this composition: 0 meV/atom
# - Fermi-level density of states: 8.68 states/eV/f.u.
# - Density: 13.1 g/cm3
# - Formation energy from the elements: 107.02 kJ per mole of atoms
data_Ta3TlCu
_chemical_formula_sum 'Ta3 Tl1 Cu1'
_cell_length_a 4.683
_cell_length_b 4.683
_cell_length_c 4.683
_cell_angle_alpha 90.00
_cell_angle_beta 90.00
_cell_angle_gamma 90.00
_space_group_name_H-M_alt 'P 1'
_space_group_IT_number 1
_space_group_name_Hall 'P 1'
loop_
_atom_site_label
_atom_site_type_symbol
_atom_site_fract_x
_atom_site_fract_y
_atom_site_fract_z
Ta1 Ta 0.000 0.000 0.500
Ta2 Ta 0.000 0.500 0.000
Ta3 Ta 0.500 0.000 0.000
Tl1 Tl 0.500 0.500 0.500
Cu1 Cu 0.000 0.000 0.000



Entry 10:
# DyScGe (GGA-PBE, optimized geometry)
# - Energy relative to the lowest polymorph listed for this composition: 0 meV/atom
# - Fermi-level density of states: 3.86 states/eV/f.u.
# - Density: 6.7 g/cm3
# - Formation energy from the elements: -68.64 kJ per mole of atoms
data_DyScGe
_chemical_formula_sum 'Dy2 Sc2 Ge2'
_cell_length_a 4.217
_cell_length_b 4.217
_cell_length_c 7.845
_cell_angle_alpha 90.00
_cell_angle_beta 90.00
_cell_angle_gamma 90.00
_space_group_name_H-M_alt 'P 1'
_space_group_IT_number 1
_space_group_name_Hall 'P 1'
loop_
_atom_site_label
_atom_site_type_symbol
_atom_site_fract_x
_atom_site_fract_y
_atom_site_fract_z
Dy1 Dy 0.250 0.250 0.149
Dy2 Dy 0.750 0.750 0.851
Sc1 Sc 0.250 0.750 0.500
Sc2 Sc 0.750 0.250 0.500
Ge1 Ge 0.250 0.250 0.760
Ge2 Ge 0.750 0.750 0.240